LiTiS2 | GGA-PBEsol | optimized geometry

Properties
The total magnetic moment is 0.000 μB per atom.

a = 6.4124 Å, b = 6.4124 Å, c = 6.4124 Å
α = 30.78°, β = 30.78°, γ = 30.78°
Element x y z (fractional)
Li 0.0000 0.0000 0.0000
Ti 0.5000 0.5000 0.5000
S 0.2463 0.2463 0.2463
S 0.7537 0.7537 0.7537


LiTi2S4 | GGA-PBEsol | optimized geometry

Properties
The total magnetic moment is 0.000 μB per atom.

a = 6.9817 Å, b = 6.9817 Å, c = 5.8197 Å
α = 114.20°, β = 114.20°, γ = 27.89°
Element x y z (fractional)
Li 0.0000 0.0000 0.0000
Ti 0.2523 0.2523 0.2586
Ti 0.7477 0.7477 0.7414
S 0.1307 0.1307 0.4660
S 0.3666 0.3666 0.0312
S 0.6334 0.6334 0.9688
S 0.8693 0.8693 0.5340


Li2Ti2S5 | GGA-PBEsol | optimized geometry

Properties
The total magnetic moment is 0.000 μB per atom.

a = 5.9914 Å, b = 5.9914 Å, c = 11.7293 Å
α = 110.63°, β = 110.63°, γ = 61.63°
Element x y z (fractional)
Li 0.0604 0.3277 0.3260
Li 0.3277 0.0604 0.8260
Li 0.6723 0.9396 0.1740
Li 0.9396 0.6723 0.6740
Ti 0.2496 0.5762 0.0576
Ti 0.4238 0.7504 0.4424
Ti 0.5762 0.2496 0.5576
Ti 0.7504 0.4238 0.9424
S 0.1402 0.8598 0.2500
S 0.2098 0.2128 0.5405
S 0.2128 0.2098 0.0405
S 0.3117 0.5230 0.8603
S 0.4770 0.6883 0.6397
S 0.5230 0.3117 0.3603
S 0.6883 0.4770 0.1397
S 0.7872 0.7902 0.9595
S 0.7902 0.7872 0.4595
S 0.8598 0.1402 0.7500


LiTi3S | GGA-PBEsol | optimized geometry

Properties
The total magnetic moment is 0.000 μB per atom.

a = 4.2504 Å, b = 4.2504 Å, c = 4.2504 Å
α = 90.00°, β = 90.00°, γ = 90.00°
Element x y z (fractional)
Li 0.0000 0.0000 0.0000
Ti 0.0000 0.0000 0.5000
Ti 0.0000 0.5000 0.0000
Ti 0.5000 0.0000 0.0000
S 0.5000 0.5000 0.5000


Li8TiS6 | GGA-PBEsol | optimized geometry

Properties
The total magnetic moment is 0.000 μB per atom.

a = 7.1325 Å, b = 7.1325 Å, c = 7.1325 Å
α = 55.37°, β = 55.37°, γ = 55.37°
Element x y z (fractional)
Li 0.0191 0.7282 0.3935
Li 0.1631 0.1631 0.1631
Li 0.2718 0.6065 0.9809
Li 0.3935 0.0191 0.7282
Li 0.6065 0.9809 0.2718
Li 0.7282 0.3935 0.0191
Li 0.8369 0.8369 0.8369
Li 0.9809 0.2718 0.6065
Ti 0.5000 0.5000 0.5000
S 0.1199 0.4143 0.7364
S 0.2636 0.8801 0.5857
S 0.4143 0.7364 0.1199
S 0.5857 0.2636 0.8801
S 0.7364 0.1199 0.4143
S 0.8801 0.5857 0.2636


LiTi2S4 | GGA-PBEsol | optimized geometry

Properties
The total magnetic moment is 0.002 μB per atom.

a = 7.0876 Å, b = 7.0876 Å, c = 7.0876 Å
α = 60.00°, β = 60.00°, γ = 60.00°
Element x y z (fractional)
Li 0.1250 0.1250 0.1250
Li 0.8750 0.8750 0.8750
Ti 0.0000 0.5000 0.5000
Ti 0.5000 0.0000 0.5000
Ti 0.5000 0.5000 0.0000
Ti 0.5000 0.5000 0.5000
S 0.2575 0.2575 0.2575
S 0.2575 0.2575 0.7274
S 0.2575 0.7274 0.2575
S 0.2726 0.7425 0.7425
S 0.7274 0.2575 0.2575
S 0.7425 0.2726 0.7425
S 0.7425 0.7425 0.2726
S 0.7425 0.7425 0.7425


Which E_form (uncorrected) belongs to each record? In order, -5.9 -10.2 -11.3 3.6 -19.8 -9.7 eV/f.u..